Entry 1:
Computed, not measured: crystalline KAcNd2S4 at its relaxed geometry at the GGA-PBE level of DFT.

a b c (Å): 4.1565 7.4171 7.2298
angles (deg): 71.35 90.00 90.00
Atoms (fractional coordinates):
K 0.0000 0.5000 0.5000
Ac 0.5000 0.5000 0.0000
Nd 0.0000 0.0000 0.0000
Nd 0.5000 0.0000 0.5000
S 0.0000 0.7657 0.7474
S 0.0000 0.2343 0.2526
S 0.5000 0.7725 0.2360
S 0.5000 0.2275 0.7640

Computed properties:
Calculated total energy, eV for the cell shown: -46.56
Density of states at the Fermi level, states/eV/f.u.: 2.596
Magnetization, μB/cell: 0.00
Formation energy from raw total energies, kJ/mol of atoms: -184.65

Entry 2:
Computed, not measured: crystalline KAc2NdSe4 at its relaxed geometry at the GGA-PBE level of DFT.

a b c (Å): 4.4184 7.6063 7.7834
angles (deg): 70.80 90.00 90.00
Atoms (fractional coordinates):
K 0.0000 0.5000 0.5000
Ac 0.0000 0.0000 0.0000
Ac 0.5000 0.0000 0.5000
Nd 0.5000 0.5000 0.0000
Se 0.0000 0.7420 0.7596
Se 0.0000 0.2580 0.2404
Se 0.5000 0.7517 0.2394
Se 0.5000 0.2483 0.7606

Computed properties:
Calculated total energy, eV for the cell shown: -42.28
Density of states at the Fermi level, states/eV/f.u.: 2.851
Magnetization, μB/cell: 0.00
Formation energy from raw total energies, kJ/mol of atoms: -171.93

Entry 3:
Computed, not measured: crystalline K2AcNdSe4 at its relaxed geometry at the GGA-PBE level of DFT.

a b c (Å): 4.4656 7.7441 8.1394
angles (deg): 108.43 90.00 90.00
Atoms (fractional coordinates):
K 0.5000 0.0000 0.5000
K 0.0000 0.5000 0.5000
Ac 0.0000 0.0000 0.0000
Nd 0.5000 0.5000 0.0000
Se 0.5000 0.2492 0.2164
Se 0.5000 0.7508 0.7836
Se 0.0000 0.2723 0.7883
Se 0.0000 0.7277 0.2117

Computed properties:
Calculated total energy, eV for the cell shown: -39.24
Density of states at the Fermi level, states/eV/f.u.: 0.000
Magnetization, μB/cell: 0.00
Formation energy from raw total energies, kJ/mol of atoms: -171.60

Entry 4:
Computed, not measured: crystalline K3Ac2NdSe6 at its relaxed geometry at the GGA-PBE level of DFT.

a b c (Å): 4.5047 9.3167 10.3451
angles (deg): 105.48 102.58 90.00
Atoms (fractional coordinates):
K 0.5000 0.5000 0.0000
K 0.8337 0.1669 0.6673
K 0.1663 0.8331 0.3327
Ac 0.8350 0.6707 0.6701
Ac 0.1650 0.3293 0.3299
Nd 0.5000 0.0000 0.0000
Se 0.3452 0.9065 0.6904
Se 0.6733 0.5662 0.3466
Se 0.6548 0.0935 0.3096
Se 0.0050 0.2203 0.0100
Se 0.9950 0.7797 0.9900
Se 0.3267 0.4338 0.6534

Computed properties:
Calculated total energy, eV for the cell shown: -58.67
Density of states at the Fermi level, states/eV/f.u.: 0.000
Magnetization, μB/cell: 0.00
Formation energy from raw total energies, kJ/mol of atoms: -172.73

Entry 5:
Computed, not measured: crystalline K2AcNdTe4 at its relaxed geometry at the GGA-PBE level of DFT.

a b c (Å): 4.7343 8.2066 8.7057
angles (deg): 108.24 90.00 90.00
Atoms (fractional coordinates):
K 0.5000 0.0000 0.5000
K 0.0000 0.5000 0.5000
Ac 0.0000 0.0000 0.0000
Nd 0.5000 0.5000 0.0000
Te 0.5000 0.2506 0.2212
Te 0.5000 0.7494 0.7788
Te 0.0000 0.2710 0.7842
Te 0.0000 0.7290 0.2158

Computed properties:
Calculated total energy, eV for the cell shown: -35.25
Density of states at the Fermi level, states/eV/f.u.: 0.000
Magnetization, μB/cell: 0.00
Formation energy from raw total energies, kJ/mol of atoms: -140.07

Entry 6:
Computed, not measured: crystalline KAc2NdTe4 at its relaxed geometry at the GGA-PBE level of DFT.

a b c (Å): 4.6823 8.0862 8.2653
angles (deg): 70.92 90.00 90.00
Atoms (fractional coordinates):
K 0.0000 0.5000 0.5000
Ac 0.0000 0.0000 0.0000
Ac 0.5000 0.0000 0.5000
Nd 0.5000 0.5000 0.0000
Te 0.0000 0.7412 0.7592
Te 0.0000 0.2588 0.2408
Te 0.5000 0.7495 0.2415
Te 0.5000 0.2505 0.7585

Computed properties:
Calculated total energy, eV for the cell shown: -38.15
Density of states at the Fermi level, states/eV/f.u.: 3.032
Magnetization, μB/cell: 0.00
Formation energy from raw total energies, kJ/mol of atoms: -138.69

Entry 7:
Computed, not measured: crystalline KAc3Ni at its relaxed geometry at the GGA-PBE level of DFT.

a b c (Å): 5.9641 5.9641 5.9641
angles (deg): 90.00 90.00 90.00
Atoms (fractional coordinates):
Ni 0.0000 0.0000 0.0000
Ac 0.0000 0.5000 0.0000
Ac 0.0000 0.0000 0.5000
Ac 0.5000 0.0000 0.0000
K 0.5000 0.5000 0.5000

Computed properties:
Calculated total energy, eV for the cell shown: -18.80
Density of states at the Fermi level, states/eV/f.u.: 7.076
Magnetization, μB/cell: 0.00
ΔE_f, kcal/mol of atoms: 1.9

What did the fifth record say?
Computed, not measured: crystalline K2AcNdTe4 at its relaxed geometry at the GGA-PBE level of DFT.

a b c (Å): 4.7343 8.2066 8.7057
angles (deg): 108.24 90.00 90.00
Atoms (fractional coordinates):
K 0.5000 0.0000 0.5000
K 0.0000 0.5000 0.5000
Ac 0.0000 0.0000 0.0000
Nd 0.5000 0.5000 0.0000
Te 0.5000 0.2506 0.2212
Te 0.5000 0.7494 0.7788
Te 0.0000 0.2710 0.7842
Te 0.0000 0.7290 0.2158

Computed properties:
Calculated total energy, eV for the cell shown: -35.25
Density of states at the Fermi level, states/eV/f.u.: 0.000
Magnetization, μB/cell: 0.00
Formation energy from raw total energies, kJ/mol of atoms: -140.07

- Number 5 is which compound?
  K2AcNdTe4

- Among the records above, which one has the highest calculated total energy?
  KAc3Ni